(A)
Here is Rb2Ti2F after structural relaxation from the Alexandria database. Energies are from PBE.

Cell lengths 6.1353, 6.1353, 6.1353 Å; angles 105.40, 105.40, 117.96 degrees
Atoms (fractional coordinates):
Rb (0.2500, 0.7500, 0.5000)
Rb (0.7500, 0.2500, 0.5000)
Ti (0.1603, 0.1603, 0.0000)
Ti (0.8397, 0.8397, 0.0000)
F (0.5000, 0.5000, 0.0000)

Size of the total moment = 2.79 μB per formula unit

***

(B)
Here is Rb2Ti2F after structural relaxation from the Alexandria database. Energies are from PBE.

Cell lengths 10.2046, 10.2046, 3.6760 Å; angles 90.00, 90.00, 90.00 degrees
Atoms (fractional coordinates):
Rb (0.2151, 0.2849, 0.0000)
Rb (0.2849, 0.7849, 0.0000)
Rb (0.7151, 0.2151, 0.0000)
Rb (0.7849, 0.7151, 0.0000)
Ti (0.0706, 0.5706, 0.5000)
Ti (0.4294, 0.0706, 0.5000)
Ti (0.5706, 0.9294, 0.5000)
Ti (0.9294, 0.4294, 0.5000)
F (0.0000, 0.0000, 0.5000)
F (0.5000, 0.5000, 0.5000)

Size of the total moment = 2.79 μB per formula unit

***

Least stable structure: (B)

***

(A)
Here is RbTl3F after structural relaxation from the Alexandria database. Energies are from PBE.

Cell lengths 6.7563, 6.7563, 6.7563 Å; angles 90.00, 90.00, 90.00 degrees
Atoms (fractional coordinates):
Rb (0.0000, 0.0000, 0.0000)
Tl (0.0000, 0.0000, 0.5000)
Tl (0.0000, 0.5000, 0.0000)
Tl (0.5000, 0.0000, 0.0000)
F (0.5000, 0.5000, 0.5000)

Size of the total moment = 0.00 μB per formula unit

***

(B)
Here is RbTl3F after structural relaxation from the Alexandria database. Energies are from PBE.

Cell lengths 5.5193, 5.5193, 5.5193 Å; angles 90.00, 90.00, 90.00 degrees
Atoms (fractional coordinates):
Rb (0.0000, 0.0000, 0.0000)
Tl (0.0000, 0.5000, 0.5000)
Tl (0.5000, 0.0000, 0.5000)
Tl (0.5000, 0.5000, 0.0000)
F (0.5000, 0.5000, 0.5000)

Size of the total moment = 0.00 μB per formula unit

***

Least stable structure: (A)

***

(A)
Here is Rb2TlF after structural relaxation from the Alexandria database. Energies are from PBE.

Cell lengths 3.6149, 3.6149, 9.5505 Å; angles 90.00, 90.00, 90.00 degrees
Atoms (fractional coordinates):
Rb (0.0000, 0.0000, 0.1778)
Rb (0.0000, 0.0000, 0.8222)
Tl (0.5000, 0.5000, 0.5000)
F (0.5000, 0.5000, 0.0000)

Size of the total moment = 0.00 μB per formula unit

***

(B)
Here is Rb2TlF after structural relaxation from the Alexandria database. Energies are from PBE.

Cell lengths 6.0233, 6.0233, 6.0233 Å; angles 60.00, 60.00, 60.00 degrees
Atoms (fractional coordinates):
Rb (0.2500, 0.2500, 0.2500)
Rb (0.7500, 0.7500, 0.7500)
Tl (0.0000, 0.0000, 0.0000)
F (0.5000, 0.5000, 0.5000)

Size of the total moment = 0.00 μB per formula unit

***

Least stable structure: (B)

***

(A)
Here is Rb2TlF after structural relaxation from the Alexandria database. Energies are from PBE.

Cell lengths 7.6795, 7.6795, 7.6795 Å; angles 114.52, 114.52, 99.78 degrees
Atoms (fractional coordinates):
Rb (0.0044, 0.6250, 0.8794)
Rb (0.3750, 0.2544, 0.3794)
Rb (0.7456, 0.1250, 0.1206)
Rb (0.8750, 0.9956, 0.6206)
Tl (0.2500, 0.7500, 0.5000)
Tl (0.5000, 0.5000, 0.0000)
F (0.0000, 0.0000, 0.0000)
F (0.7500, 0.2500, 0.5000)

Size of the total moment = 0.00 μB per formula unit

***

(B)
Here is Rb2TlF after structural relaxation from the Alexandria database. Energies are from PBE.

Cell lengths 10.8808, 10.8808, 10.8808 Å; angles 21.12, 21.12, 21.12 degrees
Atoms (fractional coordinates):
Rb (0.1134, 0.1134, 0.1134)
Rb (0.8866, 0.8866, 0.8866)
Tl (0.0000, 0.0000, 0.0000)
F (0.5000, 0.5000, 0.5000)

Size of the total moment = 0.00 μB per formula unit

***

Least stable structure: (A)